First-principles (PBEsol) data for a relaxed structure of Sr2CrSe, as listed in the Alexandria database.

Lattice parameters (Å, degrees): 4.4360 4.4360 11.8441 90.00 90.00 90.00
Closest atoms and distances in Å follow each position.
Space group I-4m2 (No. 119)
Symmetry-distinct sites (fractional):
Sr (0.0000, 0.0000, 0.0000) (multiplicity 2)  4 Cr 3.14
Sr (0.0000, 0.5000, 0.2500) (multiplicity 2)  4 Se 3.14
Cr (0.0000, 0.0000, 0.5000) (multiplicity 2)  4 Sr 3.14
Se (0.0000, 0.5000, 0.7500) (multiplicity 2)  4 Sr 3.14

Output
As for the formation energy without anion corrections: -16 kJ per mole of atoms. The uncorrected energy comes out at -36.84 eV for the cell shown.

First-principles (PBEsol) data for a relaxed structure of Ta4CrSe8, as listed in the Alexandria database.

Lattice parameters (Å, degrees): 6.8402 6.8402 12.4736 90.00 90.00 120.00
Closest atoms and distances in Å follow each position.
Space group P6_3/mmc (No. 194)
Symmetry-distinct sites (fractional):
Ta (0.0000, 0.0000, 0.2500) (multiplicity 2)  6 Se 2.59
Ta (0.0178, 0.5089, 0.2500) (multiplicity 6)  6 Se 2.56-2.61
Cr (0.0000, 0.0000, 0.0000) (multiplicity 2)  6 Se 2.48
Se (0.1688, 0.3375, 0.6177) (multiplicity 12)  1 Cr 2.48, 3 Ta 2.59-2.61
Se (0.3333, 0.6667, 0.1101) (multiplicity 4)  3 Ta 2.56

Output
As for the formation energy without anion corrections: -80 kJ per mole of atoms. The uncorrected energy comes out at -204.10 eV for the cell shown.

First-principles (PBEsol) data for a relaxed structure of TaCrSe2, as listed in the Alexandria database.

Lattice parameters (Å, degrees): 3.2180 3.2180 6.4666 90.00 90.00 90.00
Closest atoms and distances in Å follow each position.
Space group P4/mmm (No. 123)
Symmetry-distinct sites (fractional):
Ta (0.0000, 0.0000, 0.0000) (multiplicity 1)  8 Se 2.74
Cr (0.0000, 0.0000, 0.5000) (multiplicity 1)  8 Se 2.85
Se (0.5000, 0.5000, 0.2358) (multiplicity 2)  4 Ta 2.74, 4 Cr 2.85, 1 Se 3.05

Output
As for the formation energy without anion corrections: -15 kJ per mole of atoms. The calculation puts the distance to the lowest polymorph of the same formula at 0.0 meV/atom. The uncorrected energy comes out at -31.11 eV for the cell shown.